Entry 1:
BaSb2Ru: PBEsol geometry, meta-GGA SCAN.

a b c (Å): 4.5517 4.5517 4.7537
angles (deg): 90.00 90.00 90.00
With the nearest neighbours (Å) after each atom.
Fractional positions:
Ba1 0.0000 0.0000 0.0000  4 Ru 3.22, 8 Sb 3.29
Sb1 0.0000 0.5000 0.5000  4 Sb 3.22, 4 Ru 3.29, 4 Ba 3.29
Sb2 0.5000 0.0000 0.5000  4 Sb 3.22, 4 Ru 3.29, 4 Ba 3.29
Ru1 0.5000 0.5000 0.0000  4 Ba 3.22, 8 Sb 3.29

Computed properties:
Spin magnetization (μB/f.u.): 0.005
Crystal system: tetragonal
Formation energy (no corrections) (eV per atom): 0.31
Space group: P4/mmm


Entry 2:
Ba2TiSbRu: PBEsol geometry, meta-GGA SCAN.

a b c (Å): 5.7970 5.7970 5.0674
angles (deg): 90.00 90.00 90.00
With the nearest neighbours (Å) after each atom.
Fractional positions:
Ba1 0.0000 0.5000 0.0000  2 Ti 2.90
Ba2 0.5000 0.0000 0.0000  2 Ti 2.90
Ti1 0.0000 0.0000 0.0000  2 Sb 2.53
Sb1 0.0000 0.0000 0.5000  2 Ti 2.53
Ru1 0.5000 0.5000 0.5000  8 Ba 3.85, 4 Sb 4.10

Computed properties:
Spin magnetization (μB/f.u.): 5.221
Crystal system: tetragonal
Formation energy (no corrections) (eV per atom): 0.84
Space group: P4/mmm


Entry 3:
BaScRu2: PBEsol geometry, meta-GGA SCAN.

a b c (Å): 3.3070 3.3070 7.3114
angles (deg): 90.00 90.00 90.00
With the nearest neighbours (Å) after each atom.
Fractional positions:
Ba1 0.0000 0.0000 0.0000  8 Ru 3.25, 4 Ba 3.31
Sc1 0.0000 0.0000 0.5000  8 Ru 2.72
Ru1 0.5000 0.5000 0.3087  4 Sc 2.72, 1 Ru 2.80
Ru2 0.5000 0.5000 0.6913  4 Sc 2.72, 1 Ru 2.80

Computed properties:
Spin magnetization (μB/f.u.): 1.249
DFT formation energy (eV per atom): 0.272
Crystal system: tetragonal
Space group: P4/mmm


Entry 4:
BaScRu: PBEsol geometry, meta-GGA SCAN.

a b c (Å): 7.0649 7.0649 7.0649
angles (deg): 152.26 152.26 39.64
With the nearest neighbours (Å) after each atom.
Fractional positions:
Ba1 0.0000 0.0000 0.0000  4 Ru 3.26, 4 Ba 3.39, 1 Sc 3.41
Sc1 0.7436 0.7436 0.0000  4 Ru 2.67
Ru1 0.3331 0.3331 0.0000  4 Sc 2.67

Computed properties:
Spin magnetization (μB/f.u.): 0.000
DFT formation energy (eV per atom): 0.058
Crystal system: tetragonal
Space group: I4mm


Entry 5:
BaScRu2: PBEsol geometry, meta-GGA SCAN.

a b c (Å): 4.7997 4.7997 3.3599
angles (deg): 90.00 90.00 90.00
With the nearest neighbours (Å) after each atom.
Fractional positions:
Ba1 0.0000 0.0000 0.0000  8 Ru 2.93
Sc1 0.5000 0.5000 0.0000  8 Ru 2.93
Ru1 0.0000 0.5000 0.5000  4 Ba 2.93, 4 Sc 2.93
Ru2 0.5000 0.0000 0.5000  4 Ba 2.93, 4 Sc 2.93

Computed properties:
Spin magnetization (μB/f.u.): 0.000
DFT formation energy (eV per atom): 0.553
Crystal system: tetragonal
Space group: P4/mmm


Entry 6:
Ba2ScRu: PBEsol geometry, meta-GGA SCAN.

a b c (Å): 3.7802 4.9206 6.2160
angles (deg): 90.00 102.63 90.00
With the nearest neighbours (Å) after each atom.
Fractional positions:
Ba1 0.1123 0.0000 0.2703  2 Ru 3.05, 2 Ba 3.15-3.28
Ba2 0.8877 0.0000 0.7297  2 Ru 3.05, 2 Ba 3.15-3.28
Sc1 0.5000 0.5000 0.0000  2 Ru 3.11, 4 Ba 3.48
Ru1 0.5000 0.5000 0.5000  4 Ba 3.05, 2 Sc 3.11

Computed properties:
Spin magnetization (μB/f.u.): 0.000
DFT formation energy (eV per atom): 0.752
Crystal system: monoclinic
Space group: P2/m


Entry 7:
BaScRu2: PBEsol geometry, meta-GGA SCAN.

a b c (Å): 9.0211 9.0211 9.0211
angles (deg): 20.43 20.43 20.43
With the nearest neighbours (Å) after each atom.
Fractional positions:
Ba1 0.0000 0.0000 0.0000  6 Ru 3.08, 6 Ba 3.20
Sc1 0.5000 0.5000 0.5000  6 Ru 2.69
Ru1 0.2403 0.2403 0.2403  3 Sc 2.69
Ru2 0.7597 0.7597 0.7597  3 Sc 2.69

Computed properties:
Spin magnetization (μB/f.u.): 0.000
DFT formation energy (eV per atom): 0.487
Crystal system: trigonal
Space group: R-3m


Entry 8:
BaRuSe: PBEsol geometry, meta-GGA SCAN.

a b c (Å): 4.7024 4.7024 4.7024
angles (deg): 60.00 60.00 60.00
With the nearest neighbours (Å) after each atom.
Fractional positions:
Ba1 0.0000 0.0000 0.0000  4 Ru 2.88
Ru1 0.7500 0.7500 0.7500  4 Ba 2.88, 4 Se 2.88
Se1 0.5000 0.5000 0.5000  4 Ru 2.88

Computed properties:
Spin magnetization (μB/f.u.): 2.002
Crystal system: cubic
Formation energy (no corrections) (eV per atom): 0.01
Space group: F-43m


Entry 9:
BaRuSe2: PBEsol geometry, meta-GGA SCAN.

a b c (Å): 3.6194 3.6194 7.6401
angles (deg): 90.00 90.00 90.00
With the nearest neighbours (Å) after each atom.
Fractional positions:
Ba1 0.0000 0.0000 0.0000  5 Se 3.07-3.14
Ru1 0.5000 0.5000 0.4639  5 Se 2.39-2.59
Se1 0.0000 0.0000 0.4115  4 Ru 2.59
Se2 0.5000 0.5000 0.7770  1 Ru 2.39

Computed properties:
Spin magnetization (μB/f.u.): 1.171
Crystal system: tetragonal
Offset from the most stable computed form (meV per atom): 559
Formation energy (no corrections) (eV per atom): -0.40
Space group: P4mm


Entry 10:
BaRuSe2: PBEsol geometry, meta-GGA SCAN.

a b c (Å): 6.8842 6.8842 6.8842
angles (deg): 34.01 34.01 34.01
With the nearest neighbours (Å) after each atom.
Fractional positions:
Ba1 0.0000 0.0000 0.0000  6 Se 3.10-3.28, 1 Ru 3.45
Ru1 0.8226 0.8226 0.8226  6 Se 2.52-2.59
Se1 0.2146 0.2146 0.2146  3 Ru 2.59
Se2 0.4390 0.4390 0.4390  3 Ru 2.52

Computed properties:
Spin magnetization (μB/f.u.): 0.000
Crystal system: trigonal
Offset from the most stable computed form (meV per atom): 0
Formation energy (no corrections) (eV per atom): -0.96
Space group: R3m


Entry 11:
BaRuSe4: PBEsol geometry, meta-GGA SCAN.

a b c (Å): 5.7812 5.7812 5.7812
angles (deg): 60.00 60.00 60.00
With the nearest neighbours (Å) after each atom.
Fractional positions:
Ba1 0.0000 0.0000 0.0000  12 Se 3.39, 4 Ru 3.54
Ru1 0.2500 0.2500 0.2500  12 Se 3.39, 4 Ba 3.54
Se1 0.1297 0.6234 0.6234  6 Se 2.85-2.93
Se2 0.6234 0.1297 0.6234  6 Se 2.85-2.93
Se3 0.6234 0.6234 0.1297  6 Se 2.85-2.93
Se4 0.6234 0.6234 0.6234  6 Se 2.85-2.93

Computed properties:
Spin magnetization (μB/f.u.): 2.442
Crystal system: cubic
Formation energy (no corrections) (eV per atom): 0.30
Space group: F-43m


Entry 12:
BaRuSe2: PBEsol geometry, meta-GGA SCAN.

a b c (Å): 5.4638 5.4638 5.4638
angles (deg): 138.54 111.31 83.52
With the nearest neighbours (Å) after each atom.
Fractional positions:
Ba1 0.0000 0.0000 0.0000  8 Se 3.23-3.43
Ru1 0.5000 0.5000 0.0000  4 Se 2.44
Se1 0.3168 0.8168 0.5000  2 Ru 2.44
Se2 0.6832 0.1832 0.5000  2 Ru 2.44

Computed properties:
Spin magnetization (μB/f.u.): 0.000
Crystal system: orthorhombic
Offset from the most stable computed form (meV per atom): 134
Formation energy (no corrections) (eV per atom): -0.83
Space group: Immm